Record 1
! DyY2Be, relaxed, DFT PBE; values from VASP
&SYSTEM
  ibrav = 0, nat = 4, ntyp = 3
/
ATOMIC_SPECIES
Y 88.91 Y.upf
Dy 162.50 Dy.upf
Be 9.01 Be.upf
CELL_PARAMETERS angstrom
-1.952 2.487 1.442
-2.656 -2.227 0.247
2.732 -2.389 7.819
ATOMIC_POSITIONS crystal
Y 0.000 0.000 0.193
Dy 0.500 0.500 0.500
Y 0.000 0.000 0.807
Be 0.500 0.500 0.000
! Fermi-level density of states = 4.68 states/eV/cell
! ΔH_f (0 K) = 69 meV/atom
! space-group type = No. 123

---

Record 2
! DyYBe, relaxed, DFT PBE; values from VASP
&SYSTEM
  ibrav = 0, nat = 3, ntyp = 3
/
ATOMIC_SPECIES
Be 9.01 Be.upf
Dy 162.50 Dy.upf
Y 88.91 Y.upf
CELL_PARAMETERS angstrom
3.469 0.000 0.000
0.000 3.469 0.000
-1.734 -1.734 6.020
ATOMIC_POSITIONS crystal
Be 0.667 0.667 0.335
Dy 0.301 0.301 0.603
Y 0.031 0.031 0.063
! Fermi-level density of states = 3.04 states/eV/cell
! ΔH_f (0 K) = 78 meV/atom
! energy relative to the lowest polymorph listed for this composition = 0.000 eV/atom
! space-group type = No. 107

---

Record 3
! DyYBeZn, relaxed, DFT PBE; values from VASP
&SYSTEM
  ibrav = 0, nat = 4, ntyp = 4
/
ATOMIC_SPECIES
Zn 65.41 Zn.upf
Y 88.91 Y.upf
Dy 162.50 Dy.upf
Be 9.01 Be.upf
CELL_PARAMETERS angstrom
-4.608 -1.041 -1.485
-0.763 -3.443 -3.476
-2.075 -4.329 1.216
ATOMIC_POSITIONS crystal
Zn 0.000 0.000 0.000
Y 0.750 0.750 0.750
Dy 0.250 0.250 0.250
Be 0.500 0.500 0.500
! Fermi-level density of states = 3.98 states/eV/cell
! ΔH_f (0 K) = -116 meV/atom
! space-group type = No. 216

---

Record 4
! Dy2BeZn, relaxed, DFT PBE; values from VASP
&SYSTEM
  ibrav = 0, nat = 4, ntyp = 3
/
ATOMIC_SPECIES
Be 9.01 Be.upf
Dy 162.50 Dy.upf
Zn 65.41 Zn.upf
CELL_PARAMETERS angstrom
3.366 0.000 0.000
1.683 2.915 0.000
1.683 0.972 10.212
ATOMIC_POSITIONS crystal
Be 0.500 0.500 0.500
Dy 0.101 0.101 0.696
Dy 0.899 0.899 0.304
Zn 0.000 0.000 0.000
! Fermi-level density of states = 3.88 states/eV/cell
! ΔH_f (0 K) = 420 meV/atom
! energy relative to the lowest polymorph listed for this composition = 0.540 eV/atom
! space-group type = No. 166

---

Record 5
! Dy2BeZn, relaxed, DFT PBE; values from VASP
&SYSTEM
  ibrav = 0, nat = 4, ntyp = 3
/
ATOMIC_SPECIES
Dy 162.50 Dy.upf
Zn 65.41 Zn.upf
Be 9.01 Be.upf
CELL_PARAMETERS angstrom
3.451 0.000 0.000
0.000 3.451 0.000
0.000 0.000 7.086
ATOMIC_POSITIONS crystal
Dy 0.000 0.000 0.767
Zn 0.500 0.500 0.500
Dy 0.000 0.000 0.233
Be 0.500 0.500 0.000
! Fermi-level density of states = 4.58 states/eV/cell
! ΔH_f (0 K) = -120 meV/atom
! energy relative to the lowest polymorph listed for this composition = 0.000 eV/atom
! space-group type = No. 123

---

Record 6
! Dy2BeZn, relaxed, DFT PBE; values from VASP
&SYSTEM
  ibrav = 0, nat = 4, ntyp = 3
/
ATOMIC_SPECIES
Dy 162.50 Dy.upf
Zn 65.41 Zn.upf
Be 9.01 Be.upf
CELL_PARAMETERS angstrom
-0.260 -1.517 -4.696
3.905 -2.166 -2.116
-0.113 -4.831 -1.033
ATOMIC_POSITIONS crystal
Dy 0.750 0.750 0.750
Dy 0.250 0.250 0.250
Zn 0.500 0.500 0.500
Be 0.000 0.000 0.000
! Fermi-level density of states = 4.15 states/eV/cell
! ΔH_f (0 K) = -106 meV/atom
! energy relative to the lowest polymorph listed for this composition = 0.013 eV/atom
! space-group type = No. 225